No. 1
A plane-wave DFT calculation with GGA-PBE was carried out for crystalline Al2RuSe at its relaxed geometry.

Computed properties:
Formation energy without anion corrections ... -0.293 eV per atom

abc: 4.8954 4.8954 4.2050
angles: 90.00 90.00 39.63
With the nearest neighbours (Å) after each atom.
Atoms (fractional coordinates):
Al 0.0260 0.0260 0.1247  3 Se 2.48-2.70, 4 Ru 2.76
Al 0.7254 0.7254 0.6252  3 Ru 2.50-2.68, 4 Se 2.75
Ru 0.4536 0.4536 0.6250  7 Al 2.50-2.76, 2 Se 2.56
Se 0.2951 0.2951 0.1251  7 Al 2.48-2.75, 2 Ru 2.56


No. 2
A plane-wave DFT calculation with GGA-PBE was carried out for crystalline AlRuSe2 at its relaxed geometry.

Computed properties:
Formation energy without anion corrections ... -0.184 eV per atom

abc: 3.2584 3.2577 7.2656
angles: 90.00 90.00 90.00
With the nearest neighbours (Å) after each atom.
Atoms (fractional coordinates):
Ru 0.5000 0.5000 0.7267  5 Se 2.64-2.70, 4 Al 2.78
Al 0.0000 0.0000 0.5133  5 Se 2.57-2.84, 4 Ru 2.78
Se 0.0000 0.0000 0.9045  4 Ru 2.64, 1 Al 2.84
Se 0.5000 0.5000 0.3555  4 Al 2.57, 1 Ru 2.70


No. 3
A plane-wave DFT calculation with GGA-PBE was carried out for crystalline AlRuSe2 at its relaxed geometry.

Computed properties:
Formation energy without anion corrections ... -0.354 eV per atom

abc: 7.0490 7.0490 7.0490
angles: 149.02 150.31 43.44
With the nearest neighbours (Å) after each atom.
Atoms (fractional coordinates):
Se 0.1161 0.1161 0.0000  2 Al 2.52, 2 Ru 2.57
Ru 0.2500 0.7500 0.5000  4 Se 2.57, 4 Al 2.61
Se 0.3839 0.3839 0.0000  2 Al 2.52, 2 Ru 2.57
Al 0.7500 0.2500 0.5000  4 Se 2.52, 4 Ru 2.61